[1]
CuHg2Ir2Se6 | PBE | optimized geometry

The space group is C2/m (No. 12) and the conventional cell measures 6.546, 11.185 and 7.588 Å, with angles of 90.00, 109.78 and 90.00 degrees. The inequivalent atoms are Cu at (0.000, 0.000, 0.000), Hg at (0.000, 0.179, 0.500), Ir at (0.000, 0.331, 0.000), Se at (0.247, 0.500, 0.171) and Se at (0.248, 0.323, 0.811).

The size of the total moment comes out at 0.00 Bohr magnetons per cell. The calculation puts the formation energy from raw total energies at -0.17 eV/atom. The value obtained for the mass density is 8.4 g/cm3.

---

[2]
CdFeS2 | PBE | optimized geometry

The space group is R3m (No. 160, hexagonal axes) and the conventional cell measures 3.9783, 3.9783 and 19.6740 Å, with angles of 90.00, 90.00 and 120.00 degrees. The inequivalent atoms are Cd at (0.0000, 0.0000, 0.0000), Fe at (0.0000, 0.0000, 0.5046), S at (0.0000, 0.0000, 0.3876) and S at (0.0000, 0.0000, 0.8706).

The size of the total moment comes out at 11.98 Bohr magnetons per cell. The calculation puts the formation energy from raw total energies at -0.34 eV/atom. The value obtained for the mass density is 4.3 g/cm3.

---

[3]
AcPuTh2 | PBE | optimized geometry

The space group is R3m (No. 160, hexagonal axes) and the conventional cell measures 3.6279, 3.6279 and 35.3792 Å, with angles of 90.00, 90.00 and 120.00 degrees. The inequivalent atoms are Ac at (0.0000, 0.0000, 0.0000), Pu at (0.0000, 0.0000, 0.8311), Th at (0.0000, 0.0000, 0.2427) and Th at (0.0000, 0.0000, 0.4217).

The size of the total moment comes out at 16.86 Bohr magnetons per cell. As for the energy above the most stable polymorph in this dataset: 28.3 meV/atom. The value obtained for the mass density is 11.6 g/cm3.